TbBiPt4: relaxed, PBE-GGA.

a = 5.466 Å, b = 5.466 Å, c = 5.466 Å
α = 60.00°, β = 60.00°, γ = 60.00°
Element x y z (fractional)
Pt 0.126 0.625 0.625
Pt 0.625 0.625 0.126
Pt 0.625 0.126 0.625
Pt 0.625 0.625 0.625
Bi 0.000 0.000 0.000
Tb 0.250 0.250 0.250

Output
total magnetization: 0.00 μB per formula unit
ΔH_f (0 K): -0.68 eV/atom


TbBiPt10: relaxed, PBE-GGA.

a = 4.484 Å, b = 5.386 Å, c = 9.254 Å
α = 90.00°, β = 90.00°, γ = 90.00°
Element x y z (fractional)
Pt 0.500 0.253 0.745
Pt 0.500 0.253 0.255
Pt 0.000 0.500 0.834
Pt 0.500 0.000 0.500
Pt 0.000 0.000 0.333
Pt 0.000 0.000 0.667
Pt 0.000 0.500 0.166
Pt 0.500 0.747 0.255
Pt 0.500 0.747 0.745
Pt 0.500 0.500 0.000
Tb 0.000 0.500 0.500
Bi 0.000 0.000 0.000

Output
total magnetization: 0.00 μB per formula unit
ΔH_f (0 K): -0.36 eV/atom


Tb7Bi2Pt2: relaxed, PBE-GGA.

a = 3.946 Å, b = 9.657 Å, c = 9.657 Å
α = 61.85°, β = 78.21°, γ = 78.21°
Element x y z (fractional)
Tb 0.814 0.086 0.285
Tb 0.374 0.731 0.521
Tb 0.852 0.398 0.898
Tb 0.148 0.102 0.602
Tb 0.500 0.028 0.972
Tb 0.626 0.479 0.269
Tb 0.186 0.715 0.914
Pt 0.739 0.855 0.666
Pt 0.261 0.334 0.145
Bi 0.500 0.357 0.643
Bi 0.000 0.769 0.231

Output
total magnetization: 0.00 μB per formula unit
ΔH_f (0 K): -0.79 eV/atom
offset from the most stable computed form: 0.000 eV/atom